1.
# meta-GGA SCAN HfZn2CoW, single point on PBEsol structure
data_HfZn2CoW
_chemical_formula_sum 'Hf1 Zn2 Co1 W1'
_cell_length_a 4.782
_cell_length_b 4.782
_cell_length_c 4.750
_cell_angle_alpha 90.00
_cell_angle_beta 90.00
_cell_angle_gamma 90.00
_space_group_name_H-M_alt 'P 1'
_space_group_IT_number 1
loop_
_space_group_symop_operation_xyz
'x,y,z'
loop_
_atom_site_label
_atom_site_type_symbol
_atom_site_fract_x
_atom_site_fract_y
_atom_site_fract_z
Co1 Co 0.500 0.500 0.500
Zn1 Zn 0.000 0.500 0.000
Zn2 Zn 0.500 0.000 0.000
Hf1 Hf 0.000 0.000 0.500
W1 W 0.000 0.000 0.000
# SG: No. 123


2.
# meta-GGA SCAN Hf2ZnCo2, single point on PBEsol structure
data_Hf2ZnCo2
_chemical_formula_sum 'Hf4 Zn2 Co4'
_cell_length_a 3.245
_cell_length_b 6.795
_cell_length_c 6.795
_cell_angle_alpha 90.00
_cell_angle_beta 90.00
_cell_angle_gamma 90.00
_space_group_name_H-M_alt 'P 1'
_space_group_IT_number 1
loop_
_space_group_symop_operation_xyz
'x,y,z'
loop_
_atom_site_label
_atom_site_type_symbol
_atom_site_fract_x
_atom_site_fract_y
_atom_site_fract_z
Co1 Co 0.000 0.370 0.870
Co2 Co 0.000 0.870 0.630
Co3 Co 0.000 0.630 0.130
Co4 Co 0.000 0.130 0.370
Zn1 Zn 0.000 0.000 0.000
Zn2 Zn 0.000 0.500 0.500
Hf1 Hf 0.500 0.171 0.671
Hf2 Hf 0.500 0.671 0.829
Hf3 Hf 0.500 0.829 0.329
Hf4 Hf 0.500 0.329 0.171
# SG: No. 127


3.
# meta-GGA SCAN HfZnCo2, single point on PBEsol structure
data_HfZnCo2
_chemical_formula_sum 'Hf1 Zn1 Co2'
_cell_length_a 4.176
_cell_length_b 4.176
_cell_length_c 4.176
_cell_angle_alpha 60.00
_cell_angle_beta 60.00
_cell_angle_gamma 60.00
_space_group_name_H-M_alt 'P 1'
_space_group_IT_number 1
loop_
_space_group_symop_operation_xyz
'x,y,z'
loop_
_atom_site_label
_atom_site_type_symbol
_atom_site_fract_x
_atom_site_fract_y
_atom_site_fract_z
Hf1 Hf 0.500 0.500 0.500
Zn1 Zn 0.000 0.000 0.000
Co1 Co 0.250 0.250 0.250
Co2 Co 0.750 0.750 0.750
# SG: No. 225


Results for VASP energy: -169.576; -349.599; -111.910 (in eV for the cell shown, following the order of the records).
Results for Fermi-level density of states: 0.6395; 1.0574; 0.1043 (in states/eV/atom, following the order of the records).